Computed, not measured: a geometry-optimized CrInRh2 structure at the GGA-PBE level of DFT.

Summary:
**Calculated formation energy**: -102 meV per atom
**Final energy**: -0.2524 Ha/atom
**Space group**: I-4m2
**ρ**: 10.0 Mg/m³

```
CrInRh2
1.0
4.960 -0.029 -0.024
1.965 4.554 0.024
-3.450 -2.281 2.738
Cr Rh In
1 2 1
direct
0.500 0.500 0.000 Cr
0.000 0.000 0.000 Rh
0.750 0.250 0.500 Rh
0.250 0.750 0.500 In
```

=====

Computed, not measured: a geometry-optimized Ce2DyIr2 structure at the GGA-PBE level of DFT.

Summary:
**Calculated formation energy**: -264 meV per atom
**Final energy**: -0.2610 Ha/atom
**Space group**: C2/m
**ρ**: 12.2 Mg/m³

```
Ce2DyIr2
1.0
0.020 3.731 2.561
0.232 -3.648 2.668
5.822 0.163 -0.301
Ce Ir Dy
2 2 1
direct
0.191 0.809 0.500 Ce
0.809 0.191 0.500 Ce
0.500 0.500 0.762 Ir
0.500 0.500 0.238 Ir
0.000 0.000 0.000 Dy
```

=====

Computed, not measured: a geometry-optimized BeAgAs4 structure at the GGA-PBE level of DFT.

Summary:
**Calculated formation energy**: 683 meV per atom
**Final energy**: -0.1291 Ha/atom
**Space group**: F-43m
**ρ**: 5.8 Mg/m³

```
BeAgAs4
1.0
0.000 3.897 3.897
3.897 0.000 3.897
3.897 3.897 0.000
Ag As Be
1 4 1
direct
0.000 0.000 0.000 Ag
0.376 0.873 0.376 As
0.376 0.376 0.873 As
0.376 0.376 0.376 As
0.873 0.376 0.376 As
0.750 0.750 0.750 Be
```

=====

| no. | DOS at the Fermi energy (states/eV per atom) |
| --- | --- |
| 1 | 0.63 |
| 2 | 1.40 |
| 3 | 0.37 |